The following is a PBE calculation of a geometry-optimized Ho3CrAg3S8 structure, from Alexandria.

Total energy = -5.415 eV per atom
Density of states at the Fermi level = 9.1 states/eV/cell
SG = C2/m (12)
ΔE_f (raw) = -1087 meV per atom

Lattice parameters (Å, degrees): 7.6065 7.6065 8.1017 120.79 120.79 61.42
Positions (direct):
1 Ho 0.0000 0.0000 0.0000
2 Ho 0.0000 0.5000 0.5000
3 Ho 0.5000 0.0000 0.5000
4 Cr 0.5000 0.5000 0.0000
5 Ag 0.0000 0.5000 0.0000
6 Ag 0.5000 0.0000 0.0000
7 Ag 0.5000 0.5000 0.5000
8 S 0.2550 0.2550 0.2741
9 S 0.2664 0.2664 0.7532
10 S 0.2674 0.7180 0.2061
11 S 0.2820 0.7326 0.7939
12 S 0.7180 0.2674 0.2061
13 S 0.7326 0.2820 0.7939
14 S 0.7336 0.7336 0.2468
15 S 0.7450 0.7450 0.7259

---

The following is a PBE calculation of a geometry-optimized Cr3AgI structure, from Alexandria.

Energy above the lowest structure with this stoichiometry = 0.0 kJ/mol of atoms
Total energy = -5.362 eV per atom
Density of states at the Fermi level = 2.6 states/eV/cell
SG = Pm-3m (221)
ΔE_f (raw) = 1293 meV per atom

Lattice parameters (Å, degrees): 5.1391 5.1391 5.1391 90.00 90.00 90.00
Positions (direct):
1 Cr 0.0000 0.0000 0.5000
2 Cr 0.0000 0.5000 0.0000
3 Cr 0.5000 0.0000 0.0000
4 Ag 0.0000 0.0000 0.0000
5 I 0.5000 0.5000 0.5000

---

The following is a PBE calculation of a geometry-optimized CrAg2I structure, from Alexandria.

Energy above the lowest structure with this stoichiometry = 0.0 kJ/mol of atoms
Total energy = -3.653 eV per atom
Density of states at the Fermi level = 9.8 states/eV/cell
SG = I-42d (122)
ΔE_f (raw) = 566 meV per atom

Lattice parameters (Å, degrees): 8.2229 8.2229 5.5651 90.00 90.00 90.00
Positions (direct):
1 Cr 0.0000 0.0000 0.0000
2 Cr 0.0000 0.5000 0.2500
3 Cr 0.5000 0.0000 0.7500
4 Cr 0.5000 0.5000 0.5000
5 Ag 0.2305 0.2500 0.1250
6 Ag 0.2500 0.7305 0.3750
7 Ag 0.2500 0.7695 0.8750
8 Ag 0.2695 0.2500 0.6250
9 Ag 0.7305 0.7500 0.6250
10 Ag 0.7500 0.2305 0.8750
11 Ag 0.7500 0.2695 0.3750
12 Ag 0.7695 0.7500 0.1250
13 I 0.0000 0.0000 0.5000
14 I 0.0000 0.5000 0.7500
15 I 0.5000 0.0000 0.2500
16 I 0.5000 0.5000 0.0000

---

The following is a PBE calculation of a geometry-optimized CrAg2I structure, from Alexandria.

Energy above the lowest structure with this stoichiometry = 9.9 kJ/mol of atoms
Total energy = -3.551 eV per atom
Density of states at the Fermi level = 4.4 states/eV/cell
SG = Fm-3m (225)
ΔE_f (raw) = 668 meV per atom

Lattice parameters (Å, degrees): 7.1018 7.1018 7.1018 90.00 90.00 90.00
Positions (direct):
1 Cr 0.0000 0.0000 0.0000
2 Cr 0.0000 0.5000 0.5000
3 Cr 0.5000 0.0000 0.5000
4 Cr 0.5000 0.5000 0.0000
5 Ag 0.2500 0.2500 0.2500
6 Ag 0.2500 0.2500 0.7500
7 Ag 0.2500 0.7500 0.2500
8 Ag 0.2500 0.7500 0.7500
9 Ag 0.7500 0.2500 0.2500
10 Ag 0.7500 0.2500 0.7500
11 Ag 0.7500 0.7500 0.2500
12 Ag 0.7500 0.7500 0.7500
13 I 0.0000 0.0000 0.5000
14 I 0.0000 0.5000 0.0000
15 I 0.5000 0.0000 0.0000
16 I 0.5000 0.5000 0.5000

---

The following is a PBE calculation of a geometry-optimized CrAgI2 structure, from Alexandria.

Energy above the lowest structure with this stoichiometry = 30.2 kJ/mol of atoms
Total energy = -3.545 eV per atom
Density of states at the Fermi level = 13.6 states/eV/cell
SG = Fm-3m (225)
ΔE_f (raw) = 349 meV per atom

Lattice parameters (Å, degrees): 7.5957 7.5957 7.5957 90.00 90.00 90.00
Positions (direct):
1 Cr 0.0000 0.0000 0.0000
2 Cr 0.0000 0.5000 0.5000
3 Cr 0.5000 0.0000 0.5000
4 Cr 0.5000 0.5000 0.0000
5 Ag 0.0000 0.0000 0.5000
6 Ag 0.0000 0.5000 0.0000
7 Ag 0.5000 0.0000 0.0000
8 Ag 0.5000 0.5000 0.5000
9 I 0.2500 0.2500 0.2500
10 I 0.2500 0.2500 0.7500
11 I 0.2500 0.7500 0.2500
12 I 0.2500 0.7500 0.7500
13 I 0.7500 0.2500 0.2500
14 I 0.7500 0.2500 0.7500
15 I 0.7500 0.7500 0.2500
16 I 0.7500 0.7500 0.7500

---

The following is a PBE calculation of a geometry-optimized CrAg3I structure, from Alexandria.

Energy above the lowest structure with this stoichiometry = 0.0 kJ/mol of atoms
Total energy = -3.038 eV per atom
Density of states at the Fermi level = 5.6 states/eV/cell
SG = Pm-3m (221)
ΔE_f (raw) = 907 meV per atom

Lattice parameters (Å, degrees): 5.1662 5.1662 5.1662 90.00 90.00 90.00
Positions (direct):
1 Cr 0.0000 0.0000 0.0000
2 Ag 0.0000 0.0000 0.5000
3 Ag 0.0000 0.5000 0.0000
4 Ag 0.5000 0.0000 0.0000
5 I 0.5000 0.5000 0.5000

---

The following is a PBE calculation of a geometry-optimized CrAg2I6 structure, from Alexandria.

Total energy = -2.958 eV per atom
Density of states at the Fermi level = 17.3 states/eV/cell
SG = C2/c (15)
ΔE_f (raw) = -221 meV per atom

Lattice parameters (Å, degrees): 10.1049 10.1049 7.0001 95.35 95.35 86.83
Positions (direct):
1 Cr 0.0743 0.9257 0.7500
2 Cr 0.9257 0.0743 0.2500
3 Ag 0.3204 0.5262 0.8713
4 Ag 0.4738 0.6796 0.6287
5 Ag 0.5262 0.3204 0.3713
6 Ag 0.6796 0.4738 0.1287
7 I 0.0387 0.1695 0.6022
8 I 0.0819 0.6758 0.8703
9 I 0.1695 0.0387 0.1022
10 I 0.2952 0.4697 0.4534
11 I 0.3242 0.9181 0.6297
12 I 0.4697 0.2952 0.9534
13 I 0.5303 0.7048 0.0466
14 I 0.6758 0.0819 0.3703
15 I 0.7048 0.5303 0.5466
16 I 0.8305 0.9613 0.8978
17 I 0.9181 0.3242 0.1297
18 I 0.9613 0.8305 0.3978

---

The following is a PBE calculation of a geometry-optimized CrAgI2 structure, from Alexandria.

Energy above the lowest structure with this stoichiometry = 0.0 kJ/mol of atoms
Total energy = -3.858 eV per atom
Density of states at the Fermi level = 0.7 states/eV/cell
SG = I-42d (122)
ΔE_f (raw) = 35 meV per atom

Lattice parameters (Å, degrees): 6.5506 6.5506 13.2130 90.00 90.00 90.00
Positions (direct):
1 Cr 0.0000 0.0000 0.0000
2 Cr 0.0000 0.5000 0.2500
3 Cr 0.5000 0.0000 0.7500
4 Cr 0.5000 0.5000 0.5000
5 Ag 0.0000 0.0000 0.5000
6 Ag 0.0000 0.5000 0.7500
7 Ag 0.5000 0.0000 0.2500
8 Ag 0.5000 0.5000 0.0000
9 I 0.2411 0.2500 0.1250
10 I 0.2500 0.7411 0.3750
11 I 0.2500 0.7589 0.8750
12 I 0.2589 0.2500 0.6250
13 I 0.7411 0.7500 0.6250
14 I 0.7500 0.2411 0.8750
15 I 0.7500 0.2589 0.3750
16 I 0.7589 0.7500 0.1250

---

The following is a PBE calculation of a geometry-optimized K2CrAgI structure, from Alexandria.

Total energy = -2.898 eV per atom
Density of states at the Fermi level = 3.0 states/eV/cell
SG = P4/mmm (123)
ΔE_f (raw) = 346 meV per atom

Lattice parameters (Å, degrees): 6.7799 6.7799 5.3385 90.00 90.00 90.00
Positions (direct):
1 K 0.0000 0.5000 0.0000
2 K 0.5000 0.0000 0.0000
3 Cr 0.0000 0.0000 0.0000
4 Ag 0.5000 0.5000 0.5000
5 I 0.0000 0.0000 0.5000

---

The following is a PBE calculation of a geometry-optimized MgCrAg2I structure, from Alexandria.

Total energy = -2.923 eV per atom
Density of states at the Fermi level = 1.8 states/eV/cell
SG = P4/mmm (123)
ΔE_f (raw) = 771 meV per atom

Lattice parameters (Å, degrees): 5.0262 5.0262 5.8632 90.00 90.00 90.00
Positions (direct):
1 Mg 0.0000 0.0000 0.0000
2 Cr 0.5000 0.5000 0.5000
3 Ag 0.0000 0.5000 0.0000
4 Ag 0.5000 0.0000 0.0000
5 I 0.0000 0.0000 0.5000

---

The following is a PBE calculation of a geometry-optimized CrAgI2N structure, from Alexandria.

Energy above the lowest structure with this stoichiometry = 153.0 kJ/mol of atoms
Total energy = -3.008 eV per atom
Density of states at the Fermi level = 12.5 states/eV/cell
SG = P4/mmm (123)
ΔE_f (raw) = 1772 meV per atom

Lattice parameters (Å, degrees): 5.7938 5.7938 3.8568 90.00 90.00 90.00
Positions (direct):
1 Cr 0.0000 0.0000 0.0000
2 Ag 0.5000 0.5000 0.5000
3 I 0.0000 0.5000 0.5000
4 I 0.5000 0.0000 0.5000
5 N 0.5000 0.5000 0.0000

---

The following is a PBE calculation of a geometry-optimized CrAgI2N structure, from Alexandria.

Energy above the lowest structure with this stoichiometry = 0.0 kJ/mol of atoms
Total energy = -4.594 eV per atom
Density of states at the Fermi level = 2.5 states/eV/cell
SG = P4/mmm (123)
ΔE_f (raw) = 186 meV per atom

Lattice parameters (Å, degrees): 5.6593 5.6593 3.6471 90.00 90.00 90.00
Positions (direct):
1 Cr 0.0000 0.0000 0.0000
2 Ag 0.5000 0.5000 0.5000
3 I 0.0000 0.5000 0.0000
4 I 0.5000 0.0000 0.0000
5 N 0.0000 0.0000 0.5000